No. 1
## TlRu2Cl (PBE-GGA)

Data for a geometry-optimized TlRu2Cl structure.

Results
- Calculated volume: 22.87 Å³ per atom
- Density of states at the Fermi level: 4.35 states/eV/cell
- Size of the total moment: 1.99 Bohr magnetons per cell
- Electronic total energy: -5.15 eV per atom

Unit cell a=5.1529 b=5.1529 c=7.9318 alpha=126.34 beta=126.34 gamma=33.58
Sites, in units of the cell vectors:
Tl 0.0000 0.0000 0.0000
Ru 0.3559 0.3559 0.1610
Ru 0.6441 0.6441 0.8390
Cl 0.0000 0.0000 0.5000

***

No. 2
## TlRuCl2 (PBE-GGA)

Data for a geometry-optimized TlRuCl2 structure.

Results
- Calculated volume: 22.81 Å³ per atom
- Density of states at the Fermi level: 1.39 states/eV/cell
- Size of the total moment: 3.37 Bohr magnetons per cell
- Electronic total energy: -3.70 eV per atom

Unit cell a=3.2635 b=3.2635 c=8.5669 alpha=90.00 beta=90.00 gamma=90.00
Sites, in units of the cell vectors:
Tl 0.0000 0.0000 0.0000
Ru 0.0000 0.0000 0.5000
Cl 0.5000 0.5000 0.3125
Cl 0.5000 0.5000 0.6875

***

No. 3
## TlRuCl2 (PBE-GGA)

Data for a geometry-optimized TlRuCl2 structure.

Results
- Calculated volume: 23.35 Å³ per atom
- Density of states at the Fermi level: 2.86 states/eV/cell
- Size of the total moment: 2.89 Bohr magnetons per cell
- Electronic total energy: -3.48 eV per atom

Unit cell a=3.4972 b=4.4815 c=5.9585 alpha=90.00 beta=90.00 gamma=90.00
Sites, in units of the cell vectors:
Tl 0.0000 0.0000 0.0000
Ru 0.5000 0.0000 0.5000
Cl 0.0000 0.5000 0.5000
Cl 0.5000 0.5000 0.0000

***

No. 4
## Tl3RuCl6 (PBE-GGA)

Data for a geometry-optimized Tl3RuCl6 structure.

Results
- Calculated volume: 31.59 Å³ per atom
- Density of states at the Fermi level: 8.53 states/eV/cell
- Size of the total moment: 1.01 Bohr magnetons per cell
- Electronic total energy: -3.51 eV per atom

Unit cell a=8.4220 b=7.8214 c=7.0965 alpha=68.54 beta=59.81 gamma=51.65
Sites, in units of the cell vectors:
Tl 0.0000 0.0000 0.0000
Tl 0.2500 0.2500 0.2500
Tl 0.7500 0.7500 0.7500
Ru 0.5000 0.5000 0.5000
Cl 0.1833 0.5563 0.8167
Cl 0.2815 0.7185 0.2815
Cl 0.4437 0.8167 0.5563
Cl 0.5563 0.1833 0.4437
Cl 0.7185 0.2815 0.7185
Cl 0.8167 0.4437 0.1833

***

No. 5
## TlRuCl2 (PBE-GGA)

Data for a geometry-optimized TlRuCl2 structure.

Results
- Calculated volume: 25.83 Å³ per atom
- Density of states at the Fermi level: 2.03 states/eV/cell
- Size of the total moment: 0.00 Bohr magnetons per cell
- Electronic total energy: -3.94 eV per atom

Unit cell a=9.5240 b=9.5240 c=9.5240 alpha=21.68 beta=21.68 gamma=21.68
Sites, in units of the cell vectors:
Tl 0.0000 0.0000 0.0000
Ru 0.5000 0.5000 0.5000
Cl 0.1216 0.1216 0.1216
Cl 0.8784 0.8784 0.8784

***

No. 6
## TlRu2Cl (PBE-GGA)

Data for a geometry-optimized TlRu2Cl structure.

Results
- Calculated volume: 17.10 Å³ per atom
- Density of states at the Fermi level: 7.48 states/eV/cell
- Size of the total moment: 0.00 Bohr magnetons per cell
- Electronic total energy: -4.65 eV per atom

Unit cell a=4.5906 b=4.5906 c=4.5906 alpha=60.00 beta=60.00 gamma=60.00
Sites, in units of the cell vectors:
Tl 0.0000 0.0000 0.0000
Ru 0.2500 0.2500 0.2500
Ru 0.7500 0.7500 0.7500
Cl 0.5000 0.5000 0.5000

***

No. 7
## Tl6RuCl12 (PBE-GGA)

Data for a geometry-optimized Tl6RuCl12 structure.

Results
- Calculated volume: 33.49 Å³ per atom
- Density of states at the Fermi level: 14.59 states/eV/cell
- Size of the total moment: 2.55 Bohr magnetons per cell
- Electronic total energy: -3.17 eV per atom

Unit cell a=8.6410 b=8.6410 c=8.6410 alpha=95.30 beta=95.30 gamma=95.30
Sites, in units of the cell vectors:
Tl 0.1576 0.6567 0.8333
Tl 0.1667 0.8424 0.3433
Tl 0.3433 0.1667 0.8424
Tl 0.6567 0.8333 0.1576
Tl 0.8333 0.1576 0.6567
Tl 0.8424 0.3433 0.1667
Ru 0.5000 0.5000 0.5000
Cl 0.0664 0.3250 0.9223
Cl 0.0777 0.9336 0.6750
Cl 0.2287 0.5056 0.4689
Cl 0.3250 0.9223 0.0664
Cl 0.4689 0.2287 0.5056
Cl 0.4944 0.5311 0.7713
Cl 0.5056 0.4689 0.2287
Cl 0.5311 0.7713 0.4944
Cl 0.6750 0.0777 0.9336
Cl 0.7713 0.4944 0.5311
Cl 0.9223 0.0664 0.3250
Cl 0.9336 0.6750 0.0777

***

No. 8
## TlRuCl2 (PBE-GGA)

Data for a geometry-optimized TlRuCl2 structure.

Results
- Calculated volume: 23.25 Å³ per atom
- Density of states at the Fermi level: 2.01 states/eV/cell
- Size of the total moment: 3.02 Bohr magnetons per cell
- Electronic total energy: -3.82 eV per atom

Unit cell a=9.0995 b=9.0995 c=9.0995 alpha=22.04 beta=22.04 gamma=22.04
Sites, in units of the cell vectors:
Tl 0.0000 0.0000 0.0000
Ru 0.5000 0.5000 0.5000
Cl 0.2297 0.2297 0.2297
Cl 0.7703 0.7703 0.7703

***

No. 9
## TlRuCl2 (PBE-GGA)

Data for a geometry-optimized TlRuCl2 structure.

Results
- Calculated volume: 25.01 Å³ per atom
- Density of states at the Fermi level: 2.04 states/eV/cell
- Size of the total moment: 0.85 Bohr magnetons per cell
- Electronic total energy: -3.99 eV per atom

Unit cell a=6.2914 b=6.2914 c=6.2914 alpha=149.32 beta=127.38 gamma=62.15
Sites, in units of the cell vectors:
Tl 0.0000 0.0000 0.0000
Ru 0.5000 0.5000 0.0000
Cl 0.3407 0.8407 0.5000
Cl 0.6593 0.1593 0.5000

***

No. 10
## TlRuCl2 (PBE-GGA)

Data for a geometry-optimized TlRuCl2 structure.

Results
- Calculated volume: 26.09 Å³ per atom
- Density of states at the Fermi level: 2.16 states/eV/cell
- Size of the total moment: 0.49 Bohr magnetons per cell
- Electronic total energy: -4.04 eV per atom

Unit cell a=5.5633 b=5.5633 c=6.5240 alpha=114.73 beta=114.73 gamma=35.11
Sites, in units of the cell vectors:
Tl 0.0000 0.0000 0.0000
Ru 0.2666 0.2666 0.0012
Cl 0.6758 0.6758 0.7071
Cl 0.8361 0.8361 0.2957

***

No. 11
## Tl2Ru2Cl (PBE-GGA)

Data for a geometry-optimized Tl2Ru2Cl structure.

Results
- Calculated volume: 21.65 Å³ per atom
- Density of states at the Fermi level: 8.10 states/eV/cell
- Size of the total moment: 4.55 Bohr magnetons per cell
- Electronic total energy: -4.43 eV per atom

Unit cell a=8.4556 b=8.4556 c=3.0286 alpha=90.00 beta=90.00 gamma=90.00
Sites, in units of the cell vectors:
Tl 0.1945 0.3055 0.0000
Tl 0.3055 0.8055 0.0000
Tl 0.6945 0.1945 0.0000
Tl 0.8055 0.6945 0.0000
Ru 0.0975 0.5975 0.5000
Ru 0.4025 0.0975 0.5000
Ru 0.5975 0.9025 0.5000
Ru 0.9025 0.4025 0.5000
Cl 0.0000 0.0000 0.0000
Cl 0.5000 0.5000 0.0000

***

No. 12
## TlRuCl2 (PBE-GGA)

Data for a geometry-optimized TlRuCl2 structure.

Results
- Calculated volume: 26.29 Å³ per atom
- Density of states at the Fermi level: 3.86 states/eV/cell
- Size of the total moment: 0.63 Bohr magnetons per cell
- Electronic total energy: -4.05 eV per atom

Unit cell a=5.5327 b=3.6255 c=5.9251 alpha=90.00 beta=117.76 gamma=90.00
Sites, in units of the cell vectors:
Tl 0.0000 0.0000 0.0000
Ru 0.5000 0.0000 0.0000
Cl 0.3514 0.5000 0.7027
Cl 0.6486 0.5000 0.2973

***

No. 13
## TlRuCl2 (PBE-GGA)

Data for a geometry-optimized TlRuCl2 structure.

Results
- Calculated volume: 23.31 Å³ per atom
- Density of states at the Fermi level: 1.88 states/eV/cell
- Size of the total moment: 3.00 Bohr magnetons per cell
- Electronic total energy: -3.55 eV per atom

Unit cell a=5.1927 b=5.1927 c=3.4583 alpha=90.19 beta=90.19 gamma=90.07
Sites, in units of the cell vectors:
Tl 0.0000 0.0000 0.0000
Ru 0.5000 0.5000 0.0000
Cl 0.0000 0.5000 0.5000
Cl 0.5000 0.0000 0.5000

***

No. 14
## TlRu2Cl8 (PBE-GGA)

Data for a geometry-optimized TlRu2Cl8 structure.

Results
- Calculated volume: 28.81 Å³ per atom
- Density of states at the Fermi level: 4.77 states/eV/cell
- Size of the total moment: 3.66 Bohr magnetons per cell
- Electronic total energy: -3.71 eV per atom

Unit cell a=4.9164 b=8.0939 c=8.1247 alpha=85.38 beta=82.15 gamma=82.53
Sites, in units of the cell vectors:
Tl 0.0000 0.0000 0.0000
Ru 0.3029 0.3791 0.3794
Ru 0.6971 0.6209 0.6206
Cl 0.2115 0.5889 0.5887
Cl 0.2954 0.1753 0.5895
Cl 0.2999 0.5899 0.1762
Cl 0.3985 0.1796 0.1805
Cl 0.6015 0.8204 0.8195
Cl 0.7001 0.4101 0.8238
Cl 0.7046 0.8247 0.4105
Cl 0.7885 0.4111 0.4113

***

No. 15
## TlRuCl2 (PBE-GGA)

Data for a geometry-optimized TlRuCl2 structure.

Results
- Calculated volume: 22.75 Å³ per atom
- Density of states at the Fermi level: 4.03 states/eV/cell
- Size of the total moment: 3.01 Bohr magnetons per cell
- Electronic total energy: -3.29 eV per atom

Unit cell a=5.0486 b=5.0486 c=5.0486 alpha=60.00 beta=60.00 gamma=60.00
Sites, in units of the cell vectors:
Tl 0.0000 0.0000 0.0000
Ru 0.2500 0.2500 0.2500
Cl 0.5000 0.5000 0.5000
Cl 0.7500 0.7500 0.7500

***

No. 16
## TlRuCl2 (PBE-GGA)

Data for a geometry-optimized TlRuCl2 structure.

Results
- Calculated volume: 29.41 Å³ per atom
- Density of states at the Fermi level: 5.20 states/eV/cell
- Size of the total moment: 1.69 Bohr magnetons per cell
- Electronic total energy: -3.75 eV per atom

Unit cell a=7.8056 b=7.8056 c=7.8056 alpha=134.87 beta=134.87 gamma=65.74
Sites, in units of the cell vectors:
Tl 0.0000 0.0000 0.0000
Tl 0.7500 0.2500 0.5000
Ru 0.2500 0.7500 0.5000
Ru 0.5000 0.5000 0.0000
Cl 0.2450 0.6250 0.1200
Cl 0.3750 0.4950 0.6200
Cl 0.5050 0.1250 0.8800
Cl 0.8750 0.7550 0.3800

***

No. 17
## Tl3RuCl8 (PBE-GGA)

Data for a geometry-optimized Tl3RuCl8 structure.

Results
- Calculated volume: 29.24 Å³ per atom
- Density of states at the Fermi level: 10.10 states/eV/cell
- Size of the total moment: 5.58 Bohr magnetons per cell
- Electronic total energy: -3.32 eV per atom

Unit cell a=9.1783 b=9.1783 c=9.6197 alpha=90.00 beta=90.00 gamma=120.00
Sites, in units of the cell vectors:
Tl 0.1512 0.3023 0.0000
Tl 0.1512 0.8488 0.0000
Tl 0.3023 0.1512 0.5000
Tl 0.6977 0.8488 0.0000
Tl 0.8488 0.1512 0.5000
Tl 0.8488 0.6977 0.5000
Ru 0.3333 0.6667 0.5005
Ru 0.6667 0.3333 0.0005
Cl 0.0000 0.0000 0.2714
Cl 0.0000 0.0000 0.7714
Cl 0.0930 0.5465 0.3648
Cl 0.2123 0.4247 0.6407
Cl 0.2123 0.7877 0.6407
Cl 0.3333 0.6667 0.0355
Cl 0.4247 0.2123 0.1407
Cl 0.4535 0.5465 0.3648
Cl 0.4535 0.9070 0.3648
Cl 0.5465 0.0930 0.8648
Cl 0.5465 0.4535 0.8648
Cl 0.5753 0.7877 0.6407
Cl 0.6667 0.3333 0.5355
Cl 0.7877 0.2123 0.1407
Cl 0.7877 0.5753 0.1407
Cl 0.9070 0.4535 0.8648

***

No. 18
## Tl2Ru2Cl (PBE-GGA)

Data for a geometry-optimized Tl2Ru2Cl structure.

Results
- Calculated volume: 23.72 Å³ per atom
- Density of states at the Fermi level: 3.17 states/eV/cell
- Size of the total moment: 0.00 Bohr magnetons per cell
- Electronic total energy: -4.70 eV per atom

Unit cell a=9.9841 b=9.9841 c=9.9841 alpha=159.80 beta=159.80 gamma=28.72
Sites, in units of the cell vectors:
Tl 0.1084 0.1084 0.0000
Tl 0.8916 0.8916 0.0000
Ru 0.2500 0.7500 0.5000
Ru 0.7500 0.2500 0.5000
Cl 0.5000 0.5000 0.0000

***

No. 19
## Tl4RuCl6 (PBE-GGA)

Data for a geometry-optimized Tl4RuCl6 structure.

Results
- Calculated volume: 29.83 Å³ per atom
- Size of the total moment: 0.29 Bohr magnetons per cell
- Electronic total energy: -3.52 eV per atom

Unit cell a=8.4383 b=8.4383 c=9.2161 alpha=90.00 beta=90.00 gamma=90.00
Sites, in units of the cell vectors:
Tl 0.1559 0.3441 0.2500
Tl 0.1559 0.3441 0.7500
Tl 0.3441 0.8441 0.2500
Tl 0.3441 0.8441 0.7500
Tl 0.6559 0.1559 0.2500
Tl 0.6559 0.1559 0.7500
Tl 0.8441 0.6559 0.2500
Tl 0.8441 0.6559 0.7500
Ru 0.0000 0.0000 0.0000
Ru 0.5000 0.5000 0.5000
Cl 0.0000 0.0000 0.2635
Cl 0.0000 0.0000 0.7365
Cl 0.1192 0.7368 0.0000
Cl 0.2368 0.6192 0.5000
Cl 0.2632 0.1192 0.0000
Cl 0.3808 0.2368 0.5000
Cl 0.5000 0.5000 0.2365
Cl 0.5000 0.5000 0.7635
Cl 0.6192 0.7632 0.5000
Cl 0.7368 0.8808 0.0000
Cl 0.7632 0.3808 0.5000
Cl 0.8808 0.2632 0.0000

***

No. 20
## TlRuCl2 (PBE-GGA)

Data for a geometry-optimized TlRuCl2 structure.

Results
- Calculated volume: 24.84 Å³ per atom
- Density of states at the Fermi level: 3.08 states/eV/cell
- Size of the total moment: 0.80 Bohr magnetons per cell
- Electronic total energy: -3.76 eV per atom

Unit cell a=3.6017 b=3.6017 c=9.1808 alpha=90.00 beta=90.00 gamma=123.46
Sites, in units of the cell vectors:
Tl 0.0000 0.0000 0.0000
Ru 0.5000 0.5000 0.2347
Cl 0.0000 0.0000 0.4052
Cl 0.5000 0.5000 0.7787

***

No. 21
## Tl2RuCl7 (PBE-GGA)

Data for a geometry-optimized Tl2RuCl7 structure.

Results
- Calculated volume: 29.24 Å³ per atom
- Density of states at the Fermi level: 18.17 states/eV/cell
- Size of the total moment: 1.59 Bohr magnetons per cell
- Electronic total energy: -3.23 eV per atom

Unit cell a=9.0258 b=9.0258 c=12.3044 alpha=124.34 beta=124.34 gamma=47.87
Sites, in units of the cell vectors:
Tl 0.0647 0.6928 0.9588
Tl 0.3072 0.9353 0.5412
Tl 0.6928 0.0647 0.4588
Tl 0.9353 0.3072 0.0412
Ru 0.2604 0.7396 0.7500
Ru 0.7396 0.2604 0.2500
Cl 0.0881 0.1032 0.7679
Cl 0.1032 0.0881 0.2679
Cl 0.1858 0.6641 0.5118
Cl 0.2023 0.4722 0.6864
Cl 0.3359 0.8142 0.9882
Cl 0.4094 0.5906 0.2500
Cl 0.4722 0.2023 0.1864
Cl 0.5278 0.7977 0.8136
Cl 0.5906 0.4094 0.7500
Cl 0.6641 0.1858 0.0118
Cl 0.7977 0.5278 0.3136
Cl 0.8142 0.3359 0.4882
Cl 0.8968 0.9119 0.7321
Cl 0.9119 0.8968 0.2321

***

No. 22
## TlZnRuCl6 (PBE-GGA)

Data for a geometry-optimized TlZnRuCl6 structure.

Results
- Calculated volume: 27.79 Å³ per atom
- Density of states at the Fermi level: 7.16 states/eV/cell
- Size of the total moment: 1.01 Bohr magnetons per cell
- Electronic total energy: -3.48 eV per atom

Unit cell a=6.3677 b=6.3677 c=7.1228 alpha=90.00 beta=90.00 gamma=120.00
Sites, in units of the cell vectors:
Tl 0.0000 0.0000 0.0000
Zn 0.6667 0.3333 0.5000
Ru 0.3333 0.6667 0.5000
Cl 0.0140 0.3757 0.6907
Cl 0.0140 0.6382 0.3093
Cl 0.3618 0.3757 0.3093
Cl 0.3618 0.9860 0.6907
Cl 0.6243 0.6382 0.6907
Cl 0.6243 0.9860 0.3093

***

No. 23
## URuCl (PBE-GGA)

Data for a geometry-optimized URuCl structure.

Results
- Calculated volume: 24.39 Å³ per atom
- Density of states at the Fermi level: 22.73 states/eV/cell
- Size of the total moment: 7.70 Bohr magnetons per cell
- Electronic total energy: -8.01 eV per atom

Unit cell a=9.7854 b=9.7854 c=8.7187 alpha=91.20 beta=91.20 gamma=20.53
Sites, in units of the cell vectors:
U 0.1473 0.1473 0.1003
U 0.1508 0.1508 0.6338
U 0.8492 0.8492 0.3662
U 0.8527 0.8527 0.8997
Ru 0.2545 0.2545 0.3745
Ru 0.2566 0.2566 0.8759
Ru 0.7434 0.7434 0.1241
Ru 0.7455 0.7455 0.6255
Cl 0.0717 0.0717 0.3641
Cl 0.4214 0.4214 0.1349
Cl 0.5786 0.5786 0.8651
Cl 0.9283 0.9283 0.6359

***

No. 24
## VRuCl (PBE-GGA)

Data for a geometry-optimized VRuCl structure.

Results
- Calculated volume: 16.21 Å³ per atom
- Density of states at the Fermi level: 4.75 states/eV/cell
- Size of the total moment: 0.00 Bohr magnetons per cell
- Electronic total energy: -6.84 eV per atom

Unit cell a=13.0169 b=2.9291 c=2.9291 alpha=60.59 beta=90.00 gamma=90.00
Sites, in units of the cell vectors:
V 0.0000 0.0000 0.0000
V 0.5000 0.1116 0.1116
Ru 0.3605 0.7372 0.7372
Ru 0.6395 0.7372 0.7372
Cl 0.1288 0.3350 0.3350
Cl 0.8712 0.3350 0.3350

***

Energy relative to the elements, uncorrected values, unit eV/atom, following the record order: 0.544 0.133 0.356 -0.765 -0.106 1.039 -0.766 0.017 -0.159 -0.210 0.599 -0.213 0.279 -0.468 0.541 0.086 -0.721 0.327 -0.807 0.074 -0.538 -0.810 -0.539 -0.088.